No. 1
A relaxed structure of TiAgAsO5, computed with PBE.

```
data_TiAgAsO5
_cell_length_a 6.9351
_cell_length_b 9.0086
_cell_length_c 7.2940
_cell_angle_alpha 90.00
_cell_angle_beta 114.84
_cell_angle_gamma 90.00
_space_group_name_H-M_alt 'C 1 2/c 1'
_space_group_IT_number 15
loop_
_space_group_symop_operation_xyz
'x,y,z'
'-x,-y,-z'
'-x,y,-z+1/2'
'x,-y,z+1/2'
'x+1/2,y+1/2,z'
'-x+1/2,-y+1/2,-z'
'-x+1/2,y+1/2,-z+1/2'
'x+1/2,-y+1/2,z+1/2'
loop_
_atom_site_label
_atom_site_type_symbol
_atom_site_fract_x
_atom_site_fract_y
_atom_site_fract_z
_atom_site_occupancy
Ti1 Ti 0.0000 0.0000 0.0000 1
Ag1 Ag 0.0000 0.3226 0.2500 1
As1 As 0.0000 0.3178 0.7500 1
O1 O 0.0000 0.0554 0.2500 1
O2 O 0.0951 0.2103 0.6095 1
O3 O 0.1939 0.4343 0.9116 1
```

volume = 12.9 Å³/atom
raw formation energy = -1.66 eV/atom
ρ = 4.99 g cm⁻³

***

No. 2
A relaxed structure of TiAg2AsO5, computed with PBE.

```
data_TiAg2AsO5
_cell_length_a 3.2075
_cell_length_b 16.3474
_cell_length_c 11.1933
_cell_angle_alpha 90.00
_cell_angle_beta 90.00
_cell_angle_gamma 90.00
_space_group_name_H-M_alt 'C m c 21'
_space_group_IT_number 36
loop_
_space_group_symop_operation_xyz
'x,y,z'
'-x,-y,z+1/2'
'-x,y,z'
'x,-y,z+1/2'
'x+1/2,y+1/2,z'
'-x+1/2,-y+1/2,z+1/2'
'-x+1/2,y+1/2,z'
'x+1/2,-y+1/2,z+1/2'
loop_
_atom_site_label
_atom_site_type_symbol
_atom_site_fract_x
_atom_site_fract_y
_atom_site_fract_z
_atom_site_occupancy
Ti1 Ti 0.0000 0.2295 0.0000 1
Ag1 Ag 0.0000 0.4081 0.2804 1
Ag2 Ag 0.0000 0.4117 0.7040 1
As1 As 0.0000 0.0735 0.4860 1
O1 O 0.0000 0.0301 0.3433 1
O2 O 0.0000 0.1753 0.8700 1
O3 O 0.0000 0.1810 0.4619 1
O4 O 0.0000 0.3093 0.5787 1
O5 O 0.0000 0.4460 0.0689 1
```

volume = 16.3 Å³/atom
raw formation energy = -1.27 eV/atom
ρ = 4.74 g cm⁻³

***

No. 3
A relaxed structure of Tl2AgAs2O6, computed with PBE.

```
data_Tl2AgAs2O6
_cell_length_a 12.2249
_cell_length_b 5.7526
_cell_length_c 6.5151
_cell_angle_alpha 90.00
_cell_angle_beta 111.51
_cell_angle_gamma 90.00
_space_group_name_H-M_alt 'C 1 2/m 1'
_space_group_IT_number 12
loop_
_space_group_symop_operation_xyz
'x,y,z'
'-x,-y,-z'
'-x,y,-z'
'x,-y,z'
'x+1/2,y+1/2,z'
'-x+1/2,-y+1/2,-z'
'-x+1/2,y+1/2,-z'
'x+1/2,-y+1/2,z'
loop_
_atom_site_label
_atom_site_type_symbol
_atom_site_fract_x
_atom_site_fract_y
_atom_site_fract_z
_atom_site_occupancy
Tl1 Tl 0.2278 0.0000 0.2248 1
Ag1 Ag 0.0000 0.0000 0.5000 1
As1 As 0.0153 0.5000 0.2050 1
O1 O 0.0612 0.2584 0.7598 1
O2 O 0.1628 0.5000 0.3486 1
```

volume = 19.4 Å³/atom
raw formation energy = -0.85 eV/atom
ρ = 5.94 g cm⁻³

***

Question: What is the ρ in the first record?
Answer: 4.99 g cm⁻³

***

Question: Among the records above, which one has the lowest volume?
Answer: TiAgAsO5